No. 1
VASP calculation (PBE) on a relaxed structure of Cr2ReNiMo.

a b c (Å): 4.398 4.446 4.398
angles (deg): 90.00 90.00 90.00
Positions (direct):
Re (0.000, 0.000, 0.000)
Mo (0.500, 0.500, 0.500)
Cr (0.000, 0.000, 0.500)
Cr (0.500, 0.000, 0.000)
Ni (0.000, 0.500, 0.000)

Computed properties:
The value obtained for the density is 8.589 Mg/m³. As for the total magnetic moment: 0.27 μB/atom. The value obtained for the density of states at the Fermi level is 8.2 states/eV/f.u. As for the volume: 86.0 Å³/cell. Its space-group type is P4/mmm, No. 123. As for the electronic total energy: -7.93 eV/atom.

=====

No. 2
VASP calculation (PBE) on a relaxed structure of TiCrNiMo.

a b c (Å): 4.271 4.271 4.271
angles (deg): 60.00 60.00 60.00
Positions (direct):
Ni (0.000, 0.000, 0.000)
Mo (0.500, 0.500, 0.500)
Ti (0.250, 0.250, 0.250)
Cr (0.750, 0.750, 0.750)

Computed properties:
The value obtained for the density is 7.670 Mg/m³. As for the total magnetic moment: 0.50 μB/atom. The value obtained for the density of states at the Fermi level is 1.4 states/eV/f.u. As for the volume: 55.1 Å³/cell. Its space-group type is F-43m, No. 216. As for the electronic total energy: -8.62 eV/atom.

=====

No. 3
VASP calculation (PBE) on a relaxed structure of V2CrNiMo.

a b c (Å): 4.514 4.503 4.514
angles (deg): 90.00 90.00 90.00
Positions (direct):
Ni (0.500, 0.500, 0.500)
Mo (0.000, 0.000, 0.000)
V (0.000, 0.000, 0.500)
V (0.500, 0.000, 0.000)
Cr (0.000, 0.500, 0.000)

Computed properties:
The value obtained for the density is 5.584 Mg/m³. As for the total magnetic moment: 0.08 μB/atom. The value obtained for the density of states at the Fermi level is 7.5 states/eV/f.u. As for the volume: 91.7 Å³/cell. Its space-group type is P4/mmm, No. 123. As for the electronic total energy: -7.34 eV/atom.

=====

No. 4
VASP calculation (PBE) on a relaxed structure of NpCr4Mo.

a b c (Å): 4.959 4.959 4.959
angles (deg): 60.00 60.00 60.00
Positions (direct):
Np (0.250, 0.250, 0.250)
Cr (0.625, 0.625, 0.124)
Cr (0.625, 0.124, 0.625)
Cr (0.625, 0.625, 0.625)
Cr (0.124, 0.625, 0.625)
Mo (0.000, 0.000, 0.000)

Computed properties:
The value obtained for the density is 10.418 Mg/m³. As for the total magnetic moment: 0.63 μB/atom. The value obtained for the density of states at the Fermi level is 13.2 states/eV/f.u. As for the volume: 86.2 Å³/cell. Its space-group type is F-43m, No. 216. As for the electronic total energy: -9.99 eV/atom.